Crystalline ZrCOF2 at its relaxed geometry. Source: Alexandria via LeMat-Bulk, functional GGA-PBE.

a = 4.2289 Å, b = 4.2289 Å, c = 4.0802 Å
α = 90.00°, β = 90.00°, γ = 90.00°
Site moments in Bohr magnetons follow the coordinates.
Positions (direct):
Zr 0.0000 0.0000 0.0000  0.01
F 0.0000 0.5000 0.0000  0.03
O 0.0000 0.0000 0.5000  -0.03
F 0.5000 0.0000 0.0000  0.03
C 0.5000 0.5000 0.5000  0.97

Results
E_form (uncorrected): -578 kJ/mol of formula units
DOS at the Fermi energy: 3.166 states/eV/f.u.
Calculated density: 3.6 g/cm³
VASP energy: -6.492 eV per atom
Magnetic moment: 2.0 μB per formula unit

---

Crystalline ZrCOF2 at its relaxed geometry. Source: Alexandria via LeMat-Bulk, functional GGA-PBE.

a = 4.3505 Å, b = 4.3505 Å, c = 3.0517 Å
α = 90.00°, β = 90.00°, γ = 90.00°
Positions (direct):
F 0.0000 0.5000 0.0000
F 0.5000 0.0000 0.0000
Zr 0.5000 0.5000 0.5000
C 0.0000 0.0000 0.0000
O 0.0000 0.0000 0.5000

Results
E_form (uncorrected): -103 kJ/mol of formula units
DOS at the Fermi energy: 3.586 states/eV/f.u.
Calculated density: 4.5 g/cm³
VASP energy: -5.508 eV per atom
Magnetic moment: 0.0 μB per formula unit

---

Crystalline OsCF2 at its relaxed geometry. Source: Alexandria via LeMat-Bulk, functional GGA-PBE.

a = 7.2974 Å, b = 7.2974 Å, c = 5.5060 Å
α = 48.50°, β = 48.50°, γ = 90.00°
Positions (direct):
Os 0.7500 0.2500 0.5000
C 0.5000 0.5000 0.0000
F 0.7515 0.1250 0.2500
F 0.8750 0.0015 0.7500
F 0.9985 0.6250 0.2500
Os 0.0000 0.0000 0.0000
F 0.3750 0.2485 0.7500
C 0.2500 0.7500 0.5000

Results
E_form (uncorrected): 26 kJ/mol of formula units
DOS at the Fermi energy: 0.011 states/eV/f.u.
Calculated density: 7.8 g/cm³
VASP energy: -5.983 eV per atom
Magnetic moment: 0.0 μB per formula unit

---

Crystalline Os2CF at its relaxed geometry. Source: Alexandria via LeMat-Bulk, functional GGA-PBE.

a = 4.4186 Å, b = 4.4186 Å, c = 6.5021 Å
α = 70.14°, β = 70.14°, γ = 90.00°
Positions (direct):
F 0.0000 0.0000 0.0000
C 0.5000 0.5000 0.0000
Os 0.5431 0.1250 0.2500
F 0.7500 0.2500 0.5000
Os 0.2069 0.6250 0.2500
Os 0.3750 0.4569 0.7500
C 0.2500 0.7500 0.5000
Os 0.8750 0.7931 0.7500

Results
E_form (uncorrected): 296 kJ/mol of formula units
DOS at the Fermi energy: 3.560 states/eV/f.u.
Calculated density: 12.3 g/cm³
VASP energy: -7.622 eV per atom
Magnetic moment: 0.0 μB per formula unit